Compound: Sr2CoNi
Source: the Alexandria database
Functional: SCAN
Structure: single point on PBEsol structure

- M_tot: 1.6 μB per formula unit
- Energy relative to the elements: 0.59 eV/atom
- Excess energy over the best structure of this formula in the dataset: 0.158 eV per atom

```
4
Lattice="-2.095 2.095 5.071 2.095 -2.095 5.071 2.095 2.095 -5.071" Properties=species:S:1:pos:R:3 pbc="T T T"
Sr 0.000 0.000 0.000
Sr 0.000 2.095 2.536
Co 0.000 0.000 5.071
Ni 2.095 0.000 2.536
```

Compound: SrCoNi2
Source: the Alexandria database
Functional: SCAN
Structure: single point on PBEsol structure

- M_tot: 2.9 μB per formula unit
- Energy relative to the elements: 0.36 eV/atom

```
4
Lattice="3.022 0.000 0.000 0.000 3.022 0.000 0.000 0.000 6.730" Properties=species:S:1:pos:R:3 pbc="T T T"
Sr 0.000 0.000 0.000
Co 0.000 0.000 3.365
Ni 1.511 1.511 2.193
Ni 1.511 1.511 4.537
```

Compound: SrCoNi
Source: the Alexandria database
Functional: SCAN
Structure: single point on PBEsol structure

- M_tot: 1.5 μB per formula unit
- Energy relative to the elements: 1.46 eV/atom
- Excess energy over the best structure of this formula in the dataset: 0.716 eV per atom

```
3
Lattice="0.000 3.139 3.139 3.139 0.000 3.139 3.139 3.139 0.000" Properties=species:S:1:pos:R:3 pbc="T T T"
Sr 0.000 0.000 0.000
Co 4.708 4.708 4.708
Ni 1.569 1.569 1.569
```

Compound: SrCo2Ni
Source: the Alexandria database
Functional: SCAN
Structure: single point on PBEsol structure

- M_tot: 3.6 μB per formula unit
- Energy relative to the elements: 0.10 eV/atom

```
4
Lattice="1.991 1.149 5.183 -1.991 1.149 5.183 0.000 -2.299 5.183" Properties=species:S:1:pos:R:3 pbc="T T T"
Sr 0.000 0.000 0.000
Co 0.000 0.000 7.721
Co 0.000 0.000 12.653
Ni 0.000 0.000 2.908
```

Compound: SrCoNi
Source: the Alexandria database
Functional: SCAN
Structure: single point on PBEsol structure

- M_tot: 2.5 μB per formula unit
- Energy relative to the elements: 0.74 eV/atom
- Excess energy over the best structure of this formula in the dataset: 0.000 eV per atom

```
3
Lattice="0.000 3.131 3.131 3.131 0.000 3.131 3.131 3.131 0.000" Properties=species:S:1:pos:R:3 pbc="T T T"
Sr 0.000 0.000 0.000
Co 3.131 3.131 3.131
Ni 1.566 1.566 1.566
```

Compound: SrCoNi2
Source: the Alexandria database
Functional: SCAN
Structure: single point on PBEsol structure

- M_tot: 2.9 μB per formula unit
- Energy relative to the elements: 0.46 eV/atom

```
4
Lattice="2.813 0.000 0.000 0.000 3.901 0.000 -1.318 0.000 5.828" Properties=species:S:1:pos:R:3 pbc="T T T"
Sr 0.000 0.000 0.000
Co 1.498 1.950 2.267
Ni 0.130 0.000 2.833
Ni 0.084 1.950 4.140
```

Compound: Sr2CoNi
Source: the Alexandria database
Functional: SCAN
Structure: single point on PBEsol structure

- M_tot: 1.6 μB per formula unit
- Energy relative to the elements: 0.43 eV/atom
- Excess energy over the best structure of this formula in the dataset: 0.000 eV per atom

```
4
Lattice="0.000 3.563 3.563 3.563 0.000 3.563 3.563 3.563 0.000" Properties=species:S:1:pos:R:3 pbc="T T T"
Sr 1.781 1.781 1.781
Sr 5.344 5.344 5.344
Co 0.000 0.000 0.000
Ni 3.563 3.563 3.563
```

Compound: SrCoNi2
Source: the Alexandria database
Functional: SCAN
Structure: single point on PBEsol structure

- M_tot: 2.2 μB per formula unit
- Energy relative to the elements: 0.69 eV/atom

```
4
Lattice="2.783 -3.702 0.000 2.783 3.702 0.000 0.000 0.000 2.831" Properties=species:S:1:pos:R:3 pbc="T T T"
Sr 0.000 0.000 0.000
Co 2.783 0.000 0.000
Ni 1.391 1.851 1.416
Ni 1.391 -1.851 1.416
```